(1)
KTlP2: relaxed, PBE.

Lattice parameters (Å, degrees): 3.2632 3.2632 9.0082 90.00 90.00 90.00
Closest atoms and distances in Å follow each position.
Space group P4/mmm (No. 123)
Unique sites:
K1 0.0000 0.0000 0.0000 [1 per cell]  4 K 3.26, 8 P 3.36
Tl1 0.0000 0.0000 0.5000 [1 per cell]  8 P 3.09, 4 Tl 3.26
P1 0.5000 0.5000 0.2718 [2 per cell]  4 Tl 3.09, 4 P 3.26, 4 K 3.36

- Magnetization: 0.00 μB/atom
- Crystal system: tetragonal
- DFT formation energy: 0.422 eV per atom
- DOS at the Fermi energy: 2.0 states/eV per cell



(2)
MnZnFe2: relaxed, PBE.

Lattice parameters (Å, degrees): 2.5224 2.5224 24.5350 90.00 90.00 120.00
Closest atoms and distances in Å follow each position.
Space group R3m (No. 160, hexagonal axes)
Unique sites:
Mn1 0.0000 0.0000 0.0000 [3 per cell]  6 Fe 2.40, 6 Mn 2.52
Zn1 0.0000 0.0000 0.8332 [3 per cell]  6 Zn 2.52, 6 Fe 2.62-2.63
Fe1 0.0000 0.0000 0.2557 [3 per cell]  3 Mn 2.40, 6 Fe 2.52, 3 Zn 2.63
Fe2 0.0000 0.0000 0.4110 [3 per cell]  3 Mn 2.40, 6 Fe 2.52, 3 Zn 2.62

- Magnetization: 0.18 μB/atom
- Crystal system: trigonal
- DFT formation energy: 0.099 eV per atom
- DOS at the Fermi energy: 14.1 states/eV per cell



(3)
SrPu2CdO8: relaxed, PBE.

Lattice parameters (Å, degrees): 5.4810 5.4810 10.4596 90.00 90.00 90.00
Closest atoms and distances in Å follow each position.
Space group I-4 (No. 82)
Unique sites:
Sr1 0.0000 0.0000 0.0000 [2 per cell]  8 O 2.47-2.48
Pu1 0.0000 0.0000 0.5000 [2 per cell]  8 O 2.23-2.24
Pu2 0.0000 0.5000 0.2500 [2 per cell]  8 O 2.24
Cd1 0.0000 0.5000 0.7500 [2 per cell]  8 O 2.41-2.43
O1 0.2162 0.7545 0.3735 [8 per cell]  2 Pu 2.23-2.24, 1 O 2.38, 1 Cd 2.43, 1 Sr 2.47
O2 0.2180 0.2438 0.3723 [8 per cell]  2 Pu 2.24, 1 O 2.38, 1 Cd 2.41, 1 Sr 2.48

- Magnetization: 0.33 μB/atom
- Crystal system: tetragonal
- Formation energy from raw total energies: -26.60 eV/f.u.
- DOS at the Fermi energy: 20.1 states/eV per cell



(4)
LuCdIr2: relaxed, PBE.

Lattice parameters (Å, degrees): 4.2928 4.2928 3.8221 90.00 90.00 90.00
Closest atoms and distances in Å follow each position.
Space group P4/mmm (No. 123)
Unique sites:
Lu1 0.0000 0.0000 0.0000 [1 per cell]  8 Ir 2.87, 4 Cd 3.04
Cd1 0.5000 0.5000 0.0000 [1 per cell]  8 Ir 2.87, 4 Lu 3.04
Ir1 0.0000 0.5000 0.5000 [2 per cell]  4 Cd 2.87, 4 Lu 2.87, 4 Ir 3.04

- Magnetization: 0.00 μB/atom
- Crystal system: tetragonal
- DFT formation energy: -0.436 eV per atom
- DOS at the Fermi energy: 3.0 states/eV per cell



(5)
FeS2Cl: relaxed, PBE.

Lattice parameters (Å, degrees): 3.4308 3.4308 20.6731 90.00 90.00 120.00
Closest atoms and distances in Å follow each position.
Space group R-3m (No. 166, hexagonal axes)
Unique sites:
Fe1 0.0000 0.0000 0.0000 [3 per cell]  6 S 2.26
S1 0.0000 0.0000 0.3864 [6 per cell]  3 Fe 2.26, 1 Cl 2.35
Cl1 0.0000 0.0000 0.5000 [3 per cell]  2 S 2.35

- Magnetization: 0.25 μB/atom
- Crystal system: trigonal
- Formation energy from raw total energies: -0.81 eV/f.u.
- DOS at the Fermi energy: 10.3 states/eV per cell



(6)
BaPaNO2: relaxed, PBE.

Lattice parameters (Å, degrees): 4.4877 4.4877 4.3869 90.00 90.00 90.00
Closest atoms and distances in Å follow each position.
Space group P4/mmm (No. 123)
Unique sites:
Ba1 0.0000 0.0000 0.0000 [1 per cell]  8 O 3.14, 4 N 3.17
Pa1 0.5000 0.5000 0.5000 [1 per cell]  2 N 2.19, 4 O 2.24
N1 0.5000 0.5000 0.0000 [1 per cell]  2 Pa 2.19
O1 0.0000 0.5000 0.5000 [2 per cell]  2 Pa 2.24

- Magnetization: 0.00 μB/atom
- Crystal system: tetragonal
- Formation energy from raw total energies: -13.46 eV/f.u.
- DOS at the Fermi energy: 0.0 states/eV per cell



(7)
CeAl2Fe: relaxed, PBE.

Lattice parameters (Å, degrees): 2.8679 2.8679 28.8963 90.00 90.00 120.00
Closest atoms and distances in Å follow each position.
Space group R-3m (No. 166, hexagonal axes)
Unique sites:
Ce1 0.0000 0.0000 0.0000 [3 per cell]  6 Ce 2.87
Al1 0.0000 0.0000 0.2352 [6 per cell]  3 Fe 2.58, 6 Al 2.87
Fe1 0.0000 0.0000 0.5000 [3 per cell]  6 Al 2.58, 6 Fe 2.87

- Magnetization: 0.57 μB/atom
- Crystal system: trigonal
- DFT formation energy: -0.055 eV per atom
- DOS at the Fermi energy: 12.7 states/eV per cell



(8)
Sr2PbI2O2: relaxed, PBE.

Lattice parameters (Å, degrees): 13.7292 4.1978 8.6052 90.00 123.83 90.00
Closest atoms and distances in Å follow each position.
Space group C2/m (No. 12)
Unique sites:
Sr1 0.2006 0.0000 0.2967 [4 per cell]  3 O 2.41-2.42
Pb1 0.0000 0.0000 0.5000 [2 per cell]  2 O 2.41
I1 0.0739 0.5000 0.8551 [4 per cell]  2 Pb 3.36
O1 0.1975 0.0000 0.5743 [4 per cell]  3 Sr 2.41-2.42, 1 Pb 2.41

- Magnetization: 0.00 μB/atom
- Crystal system: monoclinic
- Formation energy from raw total energies: -12.60 eV/f.u.
- DOS at the Fermi energy: 0.0 states/eV per cell



(9)
Ca2PPb: relaxed, PBE.

Lattice parameters (Å, degrees): 6.6335 8.4153 3.7017 90.00 90.00 90.00
Closest atoms and distances in Å follow each position.
Space group Cmmm (No. 65)
Unique sites:
Ca1 0.2500 0.2500 0.0000 [4 per cell]  4 Pb 3.26, 4 P 3.26, 2 Ca 3.32
P1 0.0000 0.0000 0.5000 [2 per cell]  8 Ca 3.26, 2 Pb 3.32
Pb1 0.0000 0.5000 0.5000 [2 per cell]  8 Ca 3.26, 2 P 3.32

- Magnetization: 0.00 μB/atom
- Crystal system: orthorhombic
- DFT formation energy: -0.544 eV per atom
- DOS at the Fermi energy: 2.1 states/eV per cell



(10)
Rb2BaNpBr8: relaxed, PBE.

Lattice parameters (Å, degrees): 7.3861 9.6844 7.7602 90.00 92.79 90.00
Closest atoms and distances in Å follow each position.
Space group P2/m (No. 10)
Unique sites:
Rb1 0.0000 0.2458 0.0000 [2 per cell]  6 Br 3.31-3.64
Ba1 0.5000 0.5000 0.5000 [1 per cell]  6 Br 3.12-3.40
Np1 0.5000 0.0000 0.5000 [1 per cell]  6 Br 2.75-2.81
Br1 0.1579 0.5000 0.2488 [2 per cell]  1 Ba 3.12, 2 Rb 3.31
Br2 0.1818 0.0000 0.3004 [2 per cell]  1 Np 2.75
Br3 0.3671 0.2108 0.7075 [4 per cell]  1 Np 2.81

- Magnetization: 0.25 μB/atom
- Crystal system: monoclinic
- Formation energy from raw total energies: -19.55 eV/f.u.
- DOS at the Fermi energy: 5.1 states/eV per cell



(11)
AsH3F8: relaxed, PBE.

Lattice parameters (Å, degrees): 6.4000 6.4000 7.7009 90.00 90.00 120.00
Closest atoms and distances in Å follow each position.
Space group P6_3mc (No. 186)
Unique sites:
As1 0.3333 0.6667 0.0000 [2 per cell]  4 F 1.69-1.70
H1 0.0783 0.1566 0.5290 [6 per cell]  3 F 1.35-1.44, 2 H 1.50
F1 0.0000 0.0000 0.3797 [2 per cell]  3 H 1.44
F2 0.0634 0.5317 0.8944 [6 per cell]  1 As 1.70
F3 0.1286 0.2572 0.0984 [6 per cell]  2 H 1.35
F4 0.3333 0.6667 0.2193 [2 per cell]  1 As 1.69

- Uncorrected energy: -91.56 eV for the cell shown
- Magnetization: 0.00 μB/atom
- Crystal system: hexagonal



(12)
BaSrAg2: relaxed, PBE.

Lattice parameters (Å, degrees): 4.6492 4.8332 6.6263 90.00 110.44 90.00
Closest atoms and distances in Å follow each position.
Space group Pm (No. 6)
Unique sites:
Ba1 0.0000 0.0000 0.0000 [1 per cell]  7 Ag 3.48-3.56
Sr1 0.7220 0.5000 0.4441 [1 per cell]  7 Ag 3.41-3.70
Ag1 0.2858 0.0000 0.5727 [1 per cell]  2 Ag 2.96
Ag2 0.4241 0.5000 0.8475 [1 per cell]  2 Ag 2.96

- Magnetization: 0.00 μB/atom
- Crystal system: monoclinic
- DFT formation energy: -0.284 eV per atom
- DOS at the Fermi energy: 2.5 states/eV per cell